# 1
Entry from the Alexandria database: Nd4GaIr after structural relaxation (PBE).

Lattice parameters (Å, degrees): 13.920 13.920 13.920 90.00 90.00 90.00
Space group F-43m (No. 216)
Asymmetric unit:
Nd (0.000, 0.000, 0.189) x24
Nd (0.055, 0.250, 0.250) x24
Nd (0.102, 0.102, 0.602) x16
Ga (0.171, 0.171, 0.829) x16
Ir (0.108, 0.108, 0.392) x16

Values from the calculation:
Crystal system: cubic
Final energy (eV per atom): -5.632
Density of states at the Fermi level (states/eV per cell): 73.3
Formation enthalpy at 0 K (eV per formula unit): -2.83
Energy above the most stable polymorph in this dataset (eV/f.u.): 0.000

***

# 2
Entry from the Alexandria database: Nd2GaIr after structural relaxation (PBE).

Lattice parameters (Å, degrees): 5.975 4.343 8.117 90.00 109.25 90.00
Space group P2_1/m (No. 11)
Asymmetric unit:
Nd (0.184, 0.250, 0.413) x2
Nd (0.273, 0.750, 0.061) x2
Ga (0.365, 0.750, 0.712) x2
Ir (0.145, 0.250, 0.783) x2

Values from the calculation:
Crystal system: monoclinic
Final energy (eV per atom): -6.008
Density of states at the Fermi level (states/eV per cell): 7.2
Formation enthalpy at 0 K (eV per formula unit): -2.61

***

# 3
Entry from the Alexandria database: Nd2Ga5Ir5 after structural relaxation (PBE).

Lattice parameters (Å, degrees): 4.198 5.454 9.468 90.00 90.00 90.00
Space group Pmmm (No. 47)
Asymmetric unit:
Nd (0.000, 0.000, 0.000) x1
Nd (0.000, 0.500, 0.500) x1
Ga (0.500, 0.000, 0.500) x1
Ga (0.500, 0.250, 0.241) x4
Ir (0.000, 0.000, 0.330) x2
Ir (0.000, 0.500, 0.186) x2
Ir (0.500, 0.500, 0.000) x1

Values from the calculation:
Crystal system: orthorhombic
Final energy (eV per atom): -6.265
Density of states at the Fermi level (states/eV per cell): 8.3
Formation enthalpy at 0 K (eV per formula unit): -6.20

***

# 4
Entry from the Alexandria database: NdGa3Ir3 after structural relaxation (PBE).

Lattice parameters (Å, degrees): 6.765 6.765 6.765 90.00 90.00 90.00
Space group Pm-3n (No. 223)
Asymmetric unit:
Nd (0.000, 0.000, 0.000) x2
Ga (0.000, 0.250, 0.500) x6
Ir (0.000, 0.500, 0.250) x6

Values from the calculation:
Crystal system: cubic
Final energy (eV per atom): -5.801
Density of states at the Fermi level (states/eV per cell): 9.5
Formation enthalpy at 0 K (eV per formula unit): -0.18

***

# 5
Entry from the Alexandria database: Nd3GaIr after structural relaxation (PBE).

Lattice parameters (Å, degrees): 6.616 7.370 7.571 94.88 112.97 115.28
Space group P-1 (No. 2)
Asymmetric unit:
Nd (0.034, 0.128, 0.268) x2
Nd (0.341, 0.614, 0.686) x2
Nd (0.395, 0.788, 0.243) x2
Ga (0.217, 0.345, 0.954) x2
Ir (0.111, 0.813, 0.435) x2

Values from the calculation:
Crystal system: triclinic
Final energy (eV per atom): -5.698
Density of states at the Fermi level (states/eV per cell): 8.1
Formation enthalpy at 0 K (eV per formula unit): -2.30
Energy above the most stable polymorph in this dataset (eV/f.u.): 0.229

***

# 6
Entry from the Alexandria database: Nd3Ga2Ir2 after structural relaxation (PBE).

Lattice parameters (Å, degrees): 5.731 8.073 13.867 90.00 90.00 90.00
Space group Pbcm (No. 57)
Asymmetric unit:
Nd (0.125, 0.241, 0.250) x4
Nd (0.353, 0.602, 0.099) x8
Ga (0.125, 0.250, 0.000) x4
Ga (0.368, 0.606, 0.750) x4
Ir (0.147, 0.531, 0.592) x8

Values from the calculation:
Crystal system: orthorhombic
Final energy (eV per atom): -6.168
Density of states at the Fermi level (states/eV per cell): 14.8
Formation enthalpy at 0 K (eV per formula unit): -5.10